Material: KBe2Sb
Method: DFT, GGA-PBE
State: relaxed

Results
* total energy: -10.8 eV per formula unit
* symmetry: R-3m

Structure (CIF):
```
data_KBe2Sb
_cell_length_a 6.5571
_cell_length_b 6.5571
_cell_length_c 6.5571
_cell_angle_alpha 38.46
_cell_angle_beta 38.46
_cell_angle_gamma 38.46
_symmetry_space_group_name_H-M 'P 1'
_symmetry_Int_Tables_number 1
_symmetry_space_group_name_Hall 'P 1'
loop_
_atom_site_label
_atom_site_fract_x
_atom_site_fract_y
_atom_site_fract_z
K1 0.0000 0.0000 0.0000
Be1 0.1857 0.1857 0.1857
Be2 0.8143 0.8143 0.8143
Sb1 0.5000 0.5000 0.5000
```


Material: KBeSb
Method: DFT, GGA-PBE
State: relaxed

Results
* total energy: -9.6 eV per formula unit
* symmetry: P-6m2

Structure (CIF):
```
data_KBeSb
_cell_length_a 4.2261
_cell_length_b 4.2261
_cell_length_c 5.4784
_cell_angle_alpha 90.00
_cell_angle_beta 90.00
_cell_angle_gamma 120.00
_symmetry_space_group_name_H-M 'P 1'
_symmetry_Int_Tables_number 1
_symmetry_space_group_name_Hall 'P 1'
loop_
_atom_site_label
_atom_site_fract_x
_atom_site_fract_y
_atom_site_fract_z
K1 0.0000 0.0000 0.0000
Be1 0.3333 0.6667 0.5000
Sb1 0.6667 0.3333 0.5000
```


Material: KBeSb2
Method: DFT, GGA-PBE
State: relaxed

Results
* total energy: -12.2 eV per formula unit
* symmetry: Cmm2

Structure (CIF):
```
data_KBeSb2
_cell_length_a 3.7088
_cell_length_b 3.7088
_cell_length_c 8.1453
_cell_angle_alpha 90.00
_cell_angle_beta 90.00
_cell_angle_gamma 90.39
_symmetry_space_group_name_H-M 'P 1'
_symmetry_Int_Tables_number 1
_symmetry_space_group_name_Hall 'P 1'
loop_
_atom_site_label
_atom_site_fract_x
_atom_site_fract_y
_atom_site_fract_z
K1 0.0000 0.0000 0.0000
Be1 0.5000 0.5000 0.6019
Sb1 0.0000 0.0000 0.5824
Sb2 0.5000 0.5000 0.3021
```


Material: KBeSb2
Method: DFT, GGA-PBE
State: relaxed

Results
* total energy: -11.1 eV per formula unit
* symmetry: C2/m

Structure (CIF):
```
data_KBeSb2
_cell_length_a 5.9207
_cell_length_b 5.9207
_cell_length_c 3.1550
_cell_angle_alpha 90.11
_cell_angle_beta 90.11
_cell_angle_gamma 111.62
_symmetry_space_group_name_H-M 'P 1'
_symmetry_Int_Tables_number 1
_symmetry_space_group_name_Hall 'P 1'
loop_
_atom_site_label
_atom_site_fract_x
_atom_site_fract_y
_atom_site_fract_z
K1 0.0000 0.0000 0.0000
Be1 0.5000 0.5000 0.0000
Sb1 0.0000 0.5000 0.5000
Sb2 0.5000 0.0000 0.5000
```


Material: KBeSb2
Method: DFT, GGA-PBE
State: relaxed

Results
* total energy: -13.0 eV per formula unit
* symmetry: I-42d

Structure (CIF):
```
data_KBeSb2
_cell_length_a 8.9009
_cell_length_b 8.9009
_cell_length_c 8.9009
_cell_angle_alpha 141.42
_cell_angle_beta 141.42
_cell_angle_gamma 55.70
_symmetry_space_group_name_H-M 'P 1'
_symmetry_Int_Tables_number 1
_symmetry_space_group_name_Hall 'P 1'
loop_
_atom_site_label
_atom_site_fract_x
_atom_site_fract_y
_atom_site_fract_z
K1 0.0000 0.0000 0.0000
K2 0.7500 0.2500 0.5000
Be1 0.2500 0.7500 0.5000
Be2 0.5000 0.5000 0.0000
Sb1 0.3261 0.6250 0.2011
Sb2 0.3750 0.5761 0.7011
Sb3 0.4239 0.1250 0.7989
Sb4 0.8750 0.6739 0.2989
```


Material: KBeSb2
Method: DFT, GGA-PBE
State: relaxed

Results
* total energy: -11.2 eV per formula unit
* symmetry: P4/mmm

Structure (CIF):
```
data_KBeSb2
_cell_length_a 4.7276
_cell_length_b 4.7276
_cell_length_c 4.5280
_cell_angle_alpha 90.00
_cell_angle_beta 90.00
_cell_angle_gamma 90.00
_symmetry_space_group_name_H-M 'P 1'
_symmetry_Int_Tables_number 1
_symmetry_space_group_name_Hall 'P 1'
loop_
_atom_site_label
_atom_site_fract_x
_atom_site_fract_y
_atom_site_fract_z
K1 0.0000 0.0000 0.0000
Be1 0.5000 0.5000 0.0000
Sb1 0.0000 0.5000 0.5000
Sb2 0.5000 0.0000 0.5000
```


Material: KBeSb2
Method: DFT, GGA-PBE
State: relaxed

Results
* total energy: -11.5 eV per formula unit
* symmetry: Imm2

Structure (CIF):
```
data_KBeSb2
_cell_length_a 6.2329
_cell_length_b 6.2329
_cell_length_c 6.2329
_cell_angle_alpha 143.12
_cell_angle_beta 124.55
_cell_angle_gamma 68.46
_symmetry_space_group_name_H-M 'P 1'
_symmetry_Int_Tables_number 1
_symmetry_space_group_name_Hall 'P 1'
loop_
_atom_site_label
_atom_site_fract_x
_atom_site_fract_y
_atom_site_fract_z
K1 0.0000 0.0000 0.0000
Be1 0.3173 0.8173 0.5000
Sb1 0.4553 0.4553 0.0000
Sb2 0.6915 0.1915 0.5000
```


Material: KBeSb2
Method: DFT, GGA-PBE
State: relaxed

Results
* total energy: -10.8 eV per formula unit
* symmetry: F-43m

Structure (CIF):
```
data_KBeSb2
_cell_length_a 5.3221
_cell_length_b 5.3221
_cell_length_c 5.3221
_cell_angle_alpha 60.00
_cell_angle_beta 60.00
_cell_angle_gamma 60.00
_symmetry_space_group_name_H-M 'P 1'
_symmetry_Int_Tables_number 1
_symmetry_space_group_name_Hall 'P 1'
loop_
_atom_site_label
_atom_site_fract_x
_atom_site_fract_y
_atom_site_fract_z
K1 0.0000 0.0000 0.0000
Be1 0.7500 0.7500 0.7500
Sb1 0.2500 0.2500 0.2500
Sb2 0.5000 0.5000 0.5000
```


Material: KBeSb2
Method: DFT, GGA-PBE
State: relaxed

Results
* total energy: -12.8 eV per formula unit
* symmetry: C2/m

Structure (CIF):
```
data_KBeSb2
_cell_length_a 4.4494
_cell_length_b 4.4494
_cell_length_c 7.4771
_cell_angle_alpha 99.93
_cell_angle_beta 99.93
_cell_angle_gamma 50.97
_symmetry_space_group_name_H-M 'P 1'
_symmetry_Int_Tables_number 1
_symmetry_space_group_name_Hall 'P 1'
loop_
_atom_site_label
_atom_site_fract_x
_atom_site_fract_y
_atom_site_fract_z
K1 0.0000 0.0000 0.0000
Be1 0.5000 0.5000 0.5000
Sb1 0.2248 0.2248 0.6491
Sb2 0.7752 0.7752 0.3509
```


Material: KBe2Sb
Method: DFT, GGA-PBE
State: relaxed

Results
* total energy: -10.9 eV per formula unit
* symmetry: P4mm

Structure (CIF):
```
data_KBe2Sb
_cell_length_a 3.1900
_cell_length_b 3.1900
_cell_length_c 8.0663
_cell_angle_alpha 90.00
_cell_angle_beta 90.00
_cell_angle_gamma 90.00
_symmetry_space_group_name_H-M 'P 1'
_symmetry_Int_Tables_number 1
_symmetry_space_group_name_Hall 'P 1'
loop_
_atom_site_label
_atom_site_fract_x
_atom_site_fract_y
_atom_site_fract_z
K1 0.0000 0.0000 0.0000
Be1 0.0000 0.0000 0.6243
Be2 0.5000 0.5000 0.6529
Sb1 0.5000 0.5000 0.3423
```


Material: KBe2Sb
Method: DFT, GGA-PBE
State: relaxed

Results
* total energy: -10.1 eV per formula unit
* symmetry: Pmmm

Structure (CIF):
```
data_KBe2Sb
_cell_length_a 3.5246
_cell_length_b 3.5771
_cell_length_c 7.2998
_cell_angle_alpha 90.00
_cell_angle_beta 90.00
_cell_angle_gamma 90.00
_symmetry_space_group_name_H-M 'P 1'
_symmetry_Int_Tables_number 1
_symmetry_space_group_name_Hall 'P 1'
loop_
_atom_site_label
_atom_site_fract_x
_atom_site_fract_y
_atom_site_fract_z
K1 0.0000 0.0000 0.0000
Be1 0.5000 0.5000 0.3548
Be2 0.5000 0.5000 0.6452
Sb1 0.0000 0.0000 0.5000
```


Material: KBeSb3
Method: DFT, GGA-PBE
State: relaxed

Results
* total energy: -16.2 eV per formula unit
* symmetry: Pm-3m

Structure (CIF):
```
data_KBeSb3
_cell_length_a 5.1631
_cell_length_b 5.1631
_cell_length_c 5.1631
_cell_angle_alpha 90.00
_cell_angle_beta 90.00
_cell_angle_gamma 90.00
_symmetry_space_group_name_H-M 'P 1'
_symmetry_Int_Tables_number 1
_symmetry_space_group_name_Hall 'P 1'
loop_
_atom_site_label
_atom_site_fract_x
_atom_site_fract_y
_atom_site_fract_z
K1 0.0000 0.0000 0.0000
Be1 0.5000 0.5000 0.5000
Sb1 0.0000 0.5000 0.5000
Sb2 0.5000 0.0000 0.5000
Sb3 0.5000 0.5000 0.0000
```


Material: KBe2Sb2
Method: DFT, GGA-PBE
State: relaxed

Results
* total energy: -15.9 eV per formula unit
* symmetry: I4/mmm

Structure (CIF):
```
data_KBe2Sb2
_cell_length_a 6.1887
_cell_length_b 6.1887
_cell_length_c 6.1887
_cell_angle_alpha 136.13
_cell_angle_beta 136.13
_cell_angle_gamma 63.78
_symmetry_space_group_name_H-M 'P 1'
_symmetry_Int_Tables_number 1
_symmetry_space_group_name_Hall 'P 1'
loop_
_atom_site_label
_atom_site_fract_x
_atom_site_fract_y
_atom_site_fract_z
K1 0.0000 0.0000 0.0000
Be1 0.3916 0.3916 0.0000
Be2 0.6084 0.6084 0.0000
Sb1 0.2500 0.7500 0.5000
Sb2 0.7500 0.2500 0.5000
```


Material: KBe2Sb2
Method: DFT, GGA-PBE
State: relaxed

Results
* total energy: -15.2 eV per formula unit
* symmetry: P4/mbm

Structure (CIF):
```
data_KBe2Sb2
_cell_length_a 8.0891
_cell_length_b 8.0891
_cell_length_c 3.5881
_cell_angle_alpha 90.00
_cell_angle_beta 90.00
_cell_angle_gamma 90.00
_symmetry_space_group_name_H-M 'P 1'
_symmetry_Int_Tables_number 1
_symmetry_space_group_name_Hall 'P 1'
loop_
_atom_site_label
_atom_site_fract_x
_atom_site_fract_y
_atom_site_fract_z
K1 0.0000 0.0000 0.0000
K2 0.5000 0.5000 0.0000
Be1 0.0939 0.4061 0.0000
Be2 0.4061 0.9061 0.0000
Be3 0.5939 0.0939 0.0000
Be4 0.9061 0.5939 0.0000
Sb1 0.1414 0.6414 0.5000
Sb2 0.3586 0.1414 0.5000
Sb3 0.6414 0.8586 0.5000
Sb4 0.8586 0.3586 0.5000
```


Material: KBeSb
Method: DFT, GGA-PBE
State: relaxed

Results
* total energy: -8.2 eV per formula unit
* symmetry: I4mm

Structure (CIF):
```
data_KBeSb
_cell_length_a 6.7095
_cell_length_b 6.7095
_cell_length_c 6.7095
_cell_angle_alpha 147.80
_cell_angle_beta 147.80
_cell_angle_gamma 46.18
_symmetry_space_group_name_H-M 'P 1'
_symmetry_Int_Tables_number 1
_symmetry_space_group_name_Hall 'P 1'
loop_
_atom_site_label
_atom_site_fract_x
_atom_site_fract_y
_atom_site_fract_z
K1 0.0000 0.0000 0.0000
Be1 0.2496 0.2496 0.0000
Sb1 0.7239 0.7239 0.0000
```


Material: KBe2Sb
Method: DFT, GGA-PBE
State: relaxed

Results
* total energy: -10.0 eV per formula unit
* symmetry: P2/m

Structure (CIF):
```
data_KBe2Sb
_cell_length_a 3.1635
_cell_length_b 4.2972
_cell_length_c 7.0117
_cell_angle_alpha 90.00
_cell_angle_beta 90.11
_cell_angle_gamma 90.00
_symmetry_space_group_name_H-M 'P 1'
_symmetry_Int_Tables_number 1
_symmetry_space_group_name_Hall 'P 1'
loop_
_atom_site_label
_atom_site_fract_x
_atom_site_fract_y
_atom_site_fract_z
K1 0.0000 0.0000 0.0000
Be1 0.4907 0.5000 0.6730
Be2 0.5093 0.5000 0.3270
Sb1 0.5000 0.0000 0.5000
```


Material: KBe2Sb
Method: DFT, GGA-PBE
State: relaxed

Results
* total energy: -11.2 eV per formula unit
* symmetry: C2/m

Structure (CIF):
```
data_KBe2Sb
_cell_length_a 4.7828
_cell_length_b 4.7828
_cell_length_c 6.1885
_cell_angle_alpha 104.62
_cell_angle_beta 104.62
_cell_angle_gamma 49.14
_symmetry_space_group_name_H-M 'P 1'
_symmetry_Int_Tables_number 1
_symmetry_space_group_name_Hall 'P 1'
loop_
_atom_site_label
_atom_site_fract_x
_atom_site_fract_y
_atom_site_fract_z
K1 0.0000 0.0000 0.0000
Be1 0.2123 0.2123 0.5258
Be2 0.7877 0.7877 0.4742
Sb1 0.5000 0.5000 0.5000
```


Material: KBe3Sb
Method: DFT, GGA-PBE
State: relaxed

Results
* total energy: -10.8 eV per formula unit
* symmetry: Pm-3m

Structure (CIF):
```
data_KBe3Sb
_cell_length_a 4.9737
_cell_length_b 4.9737
_cell_length_c 4.9737
_cell_angle_alpha 90.00
_cell_angle_beta 90.00
_cell_angle_gamma 90.00
_symmetry_space_group_name_H-M 'P 1'
_symmetry_Int_Tables_number 1
_symmetry_space_group_name_Hall 'P 1'
loop_
_atom_site_label
_atom_site_fract_x
_atom_site_fract_y
_atom_site_fract_z
K1 0.0000 0.0000 0.0000
Be1 0.0000 0.5000 0.5000
Be2 0.5000 0.0000 0.5000
Be3 0.5000 0.5000 0.0000
Sb1 0.5000 0.5000 0.5000
```


Material: KBe2Sb
Method: DFT, GGA-PBE
State: relaxed

Results
* total energy: -10.9 eV per formula unit
* symmetry: Imm2

Structure (CIF):
```
data_KBe2Sb
_cell_length_a 5.8220
_cell_length_b 5.8220
_cell_length_c 5.8220
_cell_angle_alpha 141.11
_cell_angle_beta 104.74
_cell_angle_gamma 88.13
_symmetry_space_group_name_H-M 'P 1'
_symmetry_Int_Tables_number 1
_symmetry_space_group_name_Hall 'P 1'
loop_
_atom_site_label
_atom_site_fract_x
_atom_site_fract_y
_atom_site_fract_z
K1 0.0000 0.0000 0.0000
Be1 0.3562 0.8562 0.5000
Be2 0.4525 0.4525 0.0000
Sb1 0.6321 0.1321 0.5000
```


Material: KBeSb2
Method: DFT, GGA-PBE
State: relaxed

Results
* total energy: -11.1 eV per formula unit
* symmetry: I4/mmm

Structure (CIF):
```
data_KBeSb2
_cell_length_a 5.9116
_cell_length_b 5.9116
_cell_length_c 5.9116
_cell_angle_alpha 134.19
_cell_angle_beta 134.19
_cell_angle_gamma 66.78
_symmetry_space_group_name_H-M 'P 1'
_symmetry_Int_Tables_number 1
_symmetry_space_group_name_Hall 'P 1'
loop_
_atom_site_label
_atom_site_fract_x
_atom_site_fract_y
_atom_site_fract_z
K1 0.0000 0.0000 0.0000
Be1 0.5000 0.5000 0.0000
Sb1 0.2500 0.7500 0.5000
Sb2 0.7500 0.2500 0.5000
```